(1)
# CdTePH (GGA-PBE, optimized geometry)
data_CdTePH
_chemical_formula_sum 'Cd1 Te1 P1 H1'
_cell_length_a 4.429
_cell_length_b 2.980
_cell_length_c 7.435
_cell_angle_alpha 90.00
_cell_angle_beta 91.74
_cell_angle_gamma 90.00
_symmetry_space_group_name_H-M 'P 1 m 1'
_symmetry_Int_Tables_number 6
loop_
_symmetry_equiv_pos_as_xyz
'x,y,z'
'x,-y,z'
loop_
_atom_site_label
_atom_site_type_symbol
_atom_site_fract_x
_atom_site_fract_y
_atom_site_fract_z
_atom_site_occupancy
Cd1 Cd 0.000 0.000 0.000 1
Te1 Te 0.486 0.000 0.751 1
P1 P 0.994 0.500 0.299 1
H1 H 0.318 0.500 0.311 1
# - Total DFT energy (no corrections): -3.118 eV per atom
# - Offset from the most stable computed form: 143.7 meV per atom


(2)
# LaTe2Os (GGA-PBE, optimized geometry)
data_LaTe2Os
_chemical_formula_sum 'La2 Te4 Os2'
_cell_length_a 4.375
_cell_length_b 6.358
_cell_length_c 7.494
_cell_angle_alpha 90.00
_cell_angle_beta 90.00
_cell_angle_gamma 90.00
_symmetry_space_group_name_H-M 'C m m m'
_symmetry_Int_Tables_number 65
_symmetry_space_group_name_Hall '-C 2 2'
loop_
_atom_site_label
_atom_site_type_symbol
_atom_site_fract_x
_atom_site_fract_y
_atom_site_fract_z
_atom_site_occupancy
La1 La 0.000 0.000 0.000 1
Te1 Te 0.000 0.500 0.289 1
Os1 Os 0.000 0.000 0.500 1
# - Total DFT energy (no corrections): -5.597 eV per atom
# - Offset from the most stable computed form: 446.4 meV per atom


(3)
# Cu2AgGe (GGA-PBE, optimized geometry)
data_Cu2AgGe
_chemical_formula_sum 'Cu6 Ag3 Ge3'
_cell_length_a 2.8845
_cell_length_b 2.8845
_cell_length_c 25.0581
_cell_angle_alpha 90.00
_cell_angle_beta 90.00
_cell_angle_gamma 120.00
_symmetry_space_group_name_H-M 'R -3 m'
_symmetry_Int_Tables_number 166
_symmetry_space_group_name_Hall '-R 3 2"'
loop_
_atom_site_label
_atom_site_type_symbol
_atom_site_fract_x
_atom_site_fract_y
_atom_site_fract_z
_atom_site_occupancy
Cu1 Cu 0.0000 0.0000 0.2460 1
Ag1 Ag 0.0000 0.0000 0.0000 1
Ge1 Ge 0.0000 0.0000 0.5000 1
# - Total DFT energy (no corrections): -3.766 eV per atom
# - ΔE_f: 14.4 kJ/mol of atoms


(4)
# La2InNi (GGA-PBE, optimized geometry)
data_La2InNi
_chemical_formula_sum 'La4 In2 Ni2'
_cell_length_a 4.527
_cell_length_b 4.527
_cell_length_c 10.114
_cell_angle_alpha 90.00
_cell_angle_beta 90.00
_cell_angle_gamma 90.00
_symmetry_space_group_name_H-M 'I -4 m 2'
_symmetry_Int_Tables_number 119
_symmetry_space_group_name_Hall 'I -4 -2'
loop_
_atom_site_label
_atom_site_type_symbol
_atom_site_fract_x
_atom_site_fract_y
_atom_site_fract_z
_atom_site_occupancy
La1 La 0.000 0.000 0.000 1
La2 La 0.000 0.500 0.250 1
In1 In 0.000 0.000 0.500 1
Ni1 Ni 0.000 0.500 0.750 1
# - Total DFT energy (no corrections): -4.753 eV per atom
# - ΔE_f: -15.4 kJ/mol of atoms


(5)
# B5C7 (GGA-PBE, optimized geometry)
data_B5C7
_chemical_formula_sum 'B10 C14'
_cell_length_a 8.519
_cell_length_b 2.541
_cell_length_c 8.245
_cell_angle_alpha 90.00
_cell_angle_beta 120.24
_cell_angle_gamma 90.00
_symmetry_space_group_name_H-M 'C 1 m 1'
_symmetry_Int_Tables_number 8
loop_
_symmetry_equiv_pos_as_xyz
'x,y,z'
'x,-y,z'
'x+1/2,y+1/2,z'
'x+1/2,-y+1/2,z'
loop_
_atom_site_label
_atom_site_type_symbol
_atom_site_fract_x
_atom_site_fract_y
_atom_site_fract_z
_atom_site_occupancy
B1 B 0.000 0.000 0.000 1
B2 B 0.033 0.000 0.469 1
B3 B 0.206 0.500 0.824 1
B4 B 0.332 0.000 0.143 1
B5 B 0.407 0.500 0.762 1
C1 C 0.011 0.500 0.128 1
C2 C 0.047 0.500 0.608 1
C3 C 0.156 0.000 0.925 1
C4 C 0.186 0.500 0.315 1
C5 C 0.203 0.000 0.436 1
C6 C 0.345 0.500 0.284 1
C7 C 0.379 0.000 0.621 1
# - Total DFT energy (no corrections): -7.805 eV per atom
# - ΔE_f: 34.5 kJ/mol of atoms
# - Offset from the most stable computed form: 99.7 meV per atom


(6)
# ZrBTe3 (GGA-PBE, optimized geometry)
data_ZrBTe3
_chemical_formula_sum 'Zr1 B1 Te3'
_cell_length_a 5.602
_cell_length_b 5.602
_cell_length_c 5.602
_cell_angle_alpha 90.00
_cell_angle_beta 90.00
_cell_angle_gamma 90.00
_symmetry_space_group_name_H-M 'P m -3 m'
_symmetry_Int_Tables_number 221
_symmetry_space_group_name_Hall '-P 4 2 3'
loop_
_atom_site_label
_atom_site_type_symbol
_atom_site_fract_x
_atom_site_fract_y
_atom_site_fract_z
_atom_site_occupancy
Zr1 Zr 0.000 0.000 0.000 1
B1 B 0.500 0.500 0.500 1
Te1 Te 0.000 0.000 0.500 1
# - Total DFT energy (no corrections): -4.139 eV per atom
# - Offset from the most stable computed form: 319.4 meV per atom


(7)
# LaBSe2O (GGA-PBE, optimized geometry)
data_LaBSe2O
_chemical_formula_sum 'La1 B1 Se2 O1'
_cell_length_a 6.059
_cell_length_b 6.059
_cell_length_c 4.223
_cell_angle_alpha 90.00
_cell_angle_beta 90.00
_cell_angle_gamma 90.00
_symmetry_space_group_name_H-M 'P 4/m m m'
_symmetry_Int_Tables_number 123
_symmetry_space_group_name_Hall '-P 4 2'
loop_
_atom_site_label
_atom_site_type_symbol
_atom_site_fract_x
_atom_site_fract_y
_atom_site_fract_z
_atom_site_occupancy
La1 La 0.000 0.000 0.000 1
B1 B 0.500 0.500 0.500 1
Se1 Se 0.000 0.500 0.000 1
O1 O 0.000 0.000 0.500 1
# - Total DFT energy (no corrections): -4.524 eV per atom


(8)
# CuHCl2 (GGA-PBE, optimized geometry)
data_CuHCl2
_chemical_formula_sum 'Cu4 H4 Cl8'
_cell_length_a 5.059
_cell_length_b 5.059
_cell_length_c 9.704
_cell_angle_alpha 90.00
_cell_angle_beta 90.00
_cell_angle_gamma 90.00
_symmetry_space_group_name_H-M 'I -4 2 d'
_symmetry_Int_Tables_number 122
_symmetry_space_group_name_Hall 'I -4 2bw'
loop_
_atom_site_label
_atom_site_type_symbol
_atom_site_fract_x
_atom_site_fract_y
_atom_site_fract_z
_atom_site_occupancy
Cu1 Cu 0.000 0.000 0.000 1
H1 H 0.000 0.000 0.500 1
Cl1 Cl 0.202 0.250 0.625 1
# - Total DFT energy (no corrections): -2.885 eV per atom
# - Offset from the most stable computed form: 349.8 meV per atom


(9)
# Li3B8C8 (GGA-PBE, optimized geometry)
data_Li3B8C8
_chemical_formula_sum 'Li3 B8 C8'
_cell_length_a 2.7050
_cell_length_b 2.7050
_cell_length_c 30.0913
_cell_angle_alpha 90.00
_cell_angle_beta 90.00
_cell_angle_gamma 120.00
_symmetry_space_group_name_H-M 'P -3 m 1'
_symmetry_Int_Tables_number 164
_symmetry_space_group_name_Hall '-P 3 2"'
loop_
_atom_site_label
_atom_site_type_symbol
_atom_site_fract_x
_atom_site_fract_y
_atom_site_fract_z
_atom_site_occupancy
Li1 Li 0.0000 0.0000 0.0000 1
Li2 Li 0.0000 0.0000 0.2503 1
B1 B 0.3333 0.6667 0.0599 1
B2 B 0.3333 0.6667 0.3102 1
B3 B 0.3333 0.6667 0.5513 1
B4 B 0.3333 0.6667 0.8094 1
C1 C 0.3333 0.6667 0.1925 1
C2 C 0.3333 0.6667 0.4486 1
C3 C 0.3333 0.6667 0.6917 1
C4 C 0.3333 0.6667 0.9420 1
# - Total DFT energy (no corrections): -6.877 eV per atom
# - ΔE_f: 11.6 kJ/mol of atoms
# - Offset from the most stable computed form: 114.0 meV per atom


(10)
# Tl2AsF6 (GGA-PBE, optimized geometry)
data_Tl2AsF6
_chemical_formula_sum 'Tl8 As4 F24'
_cell_length_a 8.822
_cell_length_b 8.822
_cell_length_c 8.822
_cell_angle_alpha 90.00
_cell_angle_beta 90.00
_cell_angle_gamma 90.00
_symmetry_space_group_name_H-M 'F m -3 m'
_symmetry_Int_Tables_number 225
_symmetry_space_group_name_Hall '-F 4 2 3'
loop_
_atom_site_label
_atom_site_type_symbol
_atom_site_fract_x
_atom_site_fract_y
_atom_site_fract_z
_atom_site_occupancy
Tl1 Tl 0.250 0.250 0.250 1
As1 As 0.000 0.000 0.000 1
F1 F 0.000 0.000 0.218 1
# - Total DFT energy (no corrections): -4.242 eV per atom


(11)
# AcGe3Rh3 (GGA-PBE, optimized geometry)
data_AcGe3Rh3
_chemical_formula_sum 'Ac2 Ge6 Rh6'
_cell_length_a 6.760
_cell_length_b 6.760
_cell_length_c 6.760
_cell_angle_alpha 90.00
_cell_angle_beta 90.00
_cell_angle_gamma 90.00
_symmetry_space_group_name_H-M 'P m -3 n'
_symmetry_Int_Tables_number 223
_symmetry_space_group_name_Hall '-P 4n 2 3'
loop_
_atom_site_label
_atom_site_type_symbol
_atom_site_fract_x
_atom_site_fract_y
_atom_site_fract_z
_atom_site_occupancy
Ac1 Ac 0.000 0.000 0.000 1
Ge1 Ge 0.000 0.250 0.500 1
Rh1 Rh 0.000 0.500 0.250 1
# - Total DFT energy (no corrections): -6.181 eV per atom
# - ΔE_f: -44.9 kJ/mol of atoms
# - Offset from the most stable computed form: 12.5 meV per atom


(12)
# NaHAuSe2 (GGA-PBE, optimized geometry)
data_NaHAuSe2
_chemical_formula_sum 'Na1 H1 Au1 Se2'
_cell_length_a 5.161
_cell_length_b 5.161
_cell_length_c 5.289
_cell_angle_alpha 90.00
_cell_angle_beta 90.00
_cell_angle_gamma 90.00
_symmetry_space_group_name_H-M 'P 4/m m m'
_symmetry_Int_Tables_number 123
_symmetry_space_group_name_Hall '-P 4 2'
loop_
_atom_site_label
_atom_site_type_symbol
_atom_site_fract_x
_atom_site_fract_y
_atom_site_fract_z
_atom_site_occupancy
Na1 Na 0.000 0.000 0.000 1
H1 H 0.500 0.500 0.500 1
Au1 Au 0.000 0.000 0.500 1
Se1 Se 0.000 0.500 0.000 1
# - Total DFT energy (no corrections): -1.834 eV per atom


(13)
# MnHg2Rh (GGA-PBE, optimized geometry)
data_MnHg2Rh
_chemical_formula_sum 'Mn2 Hg4 Rh2'
_cell_length_a 3.287
_cell_length_b 4.664
_cell_length_c 9.369
_cell_angle_alpha 90.00
_cell_angle_beta 90.00
_cell_angle_gamma 90.00
_symmetry_space_group_name_H-M 'I m m 2'
_symmetry_Int_Tables_number 44
loop_
_symmetry_equiv_pos_as_xyz
'x,y,z'
'-x,-y,z'
'-x,y,z'
'x,-y,z'
'x+1/2,y+1/2,z+1/2'
'-x+1/2,-y+1/2,z+1/2'
'-x+1/2,y+1/2,z+1/2'
'x+1/2,-y+1/2,z+1/2'
loop_
_atom_site_label
_atom_site_type_symbol
_atom_site_fract_x
_atom_site_fract_y
_atom_site_fract_z
_atom_site_occupancy
Mn1 Mn 0.000 0.000 0.000 1
Hg1 Hg 0.000 0.000 0.471 1
Hg2 Hg 0.000 0.500 0.241 1
Rh1 Rh 0.000 0.500 0.713 1
# - Total DFT energy (no corrections): -4.100 eV per atom
# - ΔE_f: 17.4 kJ/mol of atoms
# - Offset from the most stable computed form: 92.2 meV per atom


(14)
# LiLaIr3 (GGA-PBE, optimized geometry)
data_LiLaIr3
_chemical_formula_sum 'Li1 La1 Ir3'
_cell_length_a 4.381
_cell_length_b 4.381
_cell_length_c 4.381
_cell_angle_alpha 90.00
_cell_angle_beta 90.00
_cell_angle_gamma 90.00
_symmetry_space_group_name_H-M 'P m -3 m'
_symmetry_Int_Tables_number 221
_symmetry_space_group_name_Hall '-P 4 2 3'
loop_
_atom_site_label
_atom_site_type_symbol
_atom_site_fract_x
_atom_site_fract_y
_atom_site_fract_z
_atom_site_occupancy
Li1 Li 0.000 0.000 0.000 1
La1 La 0.500 0.500 0.500 1
Ir1 Ir 0.000 0.000 0.500 1
# - Total DFT energy (no corrections): -6.544 eV per atom
# - ΔE_f: 13.6 kJ/mol of atoms
# - Offset from the most stable computed form: 0.0 meV per atom


(15)
# Tb4AlGa2 (GGA-PBE, optimized geometry)
data_Tb4AlGa2
_chemical_formula_sum 'Tb12 Al3 Ga6'
_cell_length_a 5.0258
_cell_length_b 5.0258
_cell_length_c 24.6179
_cell_angle_alpha 90.00
_cell_angle_beta 90.00
_cell_angle_gamma 120.00
_symmetry_space_group_name_H-M 'R -3 m'
_symmetry_Int_Tables_number 166
_symmetry_space_group_name_Hall '-R 3 2"'
loop_
_atom_site_label
_atom_site_type_symbol
_atom_site_fract_x
_atom_site_fract_y
_atom_site_fract_z
_atom_site_occupancy
Tb1 Tb 0.0000 0.0000 0.1199 1
Tb2 Tb 0.0000 0.0000 0.3717 1
Al1 Al 0.0000 0.0000 0.5000 1
Ga1 Ga 0.0000 0.0000 0.2497 1
# - Total DFT energy (no corrections): -4.430 eV per atom
# - ΔE_f: -37.1 kJ/mol of atoms
# - Offset from the most stable computed form: 0.0 meV per atom


(16)
# InOsSCl2 (GGA-PBE, optimized geometry)
data_InOsSCl2
_chemical_formula_sum 'In1 Os1 S1 Cl2'
_cell_length_a 5.073
_cell_length_b 5.073
_cell_length_c 4.389
_cell_angle_alpha 90.00
_cell_angle_beta 90.00
_cell_angle_gamma 90.00
_symmetry_space_group_name_H-M 'P 4/m m m'
_symmetry_Int_Tables_number 123
_symmetry_space_group_name_Hall '-P 4 2'
loop_
_atom_site_label
_atom_site_type_symbol
_atom_site_fract_x
_atom_site_fract_y
_atom_site_fract_z
_atom_site_occupancy
In1 In 0.000 0.000 0.000 1
Os1 Os 0.500 0.500 0.500 1
S1 S 0.500 0.500 0.000 1
Cl1 Cl 0.000 0.500 0.500 1
# - Total DFT energy (no corrections): -4.402 eV per atom
# - Offset from the most stable computed form: 0.0 meV per atom


(17)
# NdNi12As6 (GGA-PBE, optimized geometry)
data_NdNi12As6
_chemical_formula_sum 'Nd3 Ni36 As18'
_cell_length_a 10.6345
_cell_length_b 10.6345
_cell_length_c 8.2118
_cell_angle_alpha 90.00
_cell_angle_beta 90.00
_cell_angle_gamma 120.00
_symmetry_space_group_name_H-M 'R -3 m'
_symmetry_Int_Tables_number 166
_symmetry_space_group_name_Hall '-R 3 2"'
loop_
_atom_site_label
_atom_site_type_symbol
_atom_site_fract_x
_atom_site_fract_y
_atom_site_fract_z
_atom_site_occupancy
Nd1 Nd 0.0000 0.0000 0.0000 1
Ni1 Ni 0.0000 0.3771 0.5000 1
Ni2 Ni 0.0863 0.1726 0.3448 1
As1 As 0.0382 0.5191 0.2715 1
# - Total DFT energy (no corrections): -5.630 eV per atom
# - ΔE_f: -25.0 kJ/mol of atoms


(18)
# SrCdNi (GGA-PBE, optimized geometry)
data_SrCdNi
_chemical_formula_sum 'Sr4 Cd4 Ni4'
_cell_length_a 6.804
_cell_length_b 6.804
_cell_length_c 6.804
_cell_angle_alpha 90.00
_cell_angle_beta 90.00
_cell_angle_gamma 90.00
_symmetry_space_group_name_H-M 'F -4 3 m'
_symmetry_Int_Tables_number 216
_symmetry_space_group_name_Hall 'F -4 2 3'
loop_
_atom_site_label
_atom_site_type_symbol
_atom_site_fract_x
_atom_site_fract_y
_atom_site_fract_z
_atom_site_occupancy
Sr1 Sr 0.000 0.000 0.000 1
Cd1 Cd 0.000 0.000 0.500 1
Ni1 Ni 0.250 0.250 0.250 1
# - Total DFT energy (no corrections): -2.773 eV per atom
# - ΔE_f: 1.9 kJ/mol of atoms


(19)
# Sr3TmTi2O9 (GGA-PBE, optimized geometry)
data_Sr3TmTi2O9
_chemical_formula_sum 'Sr3 Tm1 Ti2 O9'
_cell_length_a 5.7359
_cell_length_b 5.7359
_cell_length_c 7.1445
_cell_angle_alpha 90.00
_cell_angle_beta 90.00
_cell_angle_gamma 120.00
_symmetry_space_group_name_H-M 'P -3 m 1'
_symmetry_Int_Tables_number 164
_symmetry_space_group_name_Hall '-P 3 2"'
loop_
_atom_site_label
_atom_site_type_symbol
_atom_site_fract_x
_atom_site_fract_y
_atom_site_fract_z
_atom_site_occupancy
Sr1 Sr 0.0000 0.0000 0.0000 1
Sr2 Sr 0.3333 0.6667 0.6949 1
Tm1 Tm 0.0000 0.0000 0.5000 1
Ti1 Ti 0.3333 0.6667 0.1686 1
O1 O 0.0000 0.5000 0.0000 1
O2 O 0.1734 0.3467 0.3152 1
# - Total DFT energy (no corrections): -7.676 eV per atom


(20)
# KCu3Hg (GGA-PBE, optimized geometry)
data_KCu3Hg
_chemical_formula_sum 'K1 Cu3 Hg1'
_cell_length_a 5.292
_cell_length_b 5.292
_cell_length_c 5.292
_cell_angle_alpha 90.00
_cell_angle_beta 90.00
_cell_angle_gamma 90.00
_symmetry_space_group_name_H-M 'P m -3 m'
_symmetry_Int_Tables_number 221
_symmetry_space_group_name_Hall '-P 4 2 3'
loop_
_atom_site_label
_atom_site_type_symbol
_atom_site_fract_x
_atom_site_fract_y
_atom_site_fract_z
_atom_site_occupancy
K1 K 0.000 0.000 0.000 1
Cu1 Cu 0.000 0.000 0.500 1
Hg1 Hg 0.500 0.500 0.500 1
# - Total DFT energy (no corrections): -1.228 eV per atom
# - ΔE_f: 145.6 kJ/mol of atoms
# - Offset from the most stable computed form: 1006.6 meV per atom